{"formula": "Tl3ReRu", "functional": "PBEsol", "state": "optimized geometry", "sg": "Pm-3m", "volume_a3_per_cell": 138.7, "ef_ev_per_atom": 1.703, "total_energy_ev_per_atom": -4.576, "magnetic_moment_mub_per_fu": 3.17, "cell": [[5.176, 0.000, 0.000], [0.000, 5.176, 0.000], [0.000, 0.000, 5.176]], "species": ["Tl", "Tl", "Tl", "Re", "Ru"], "fractional_positions": [[0.000, 0.000, 0.500], [0.000, 0.500, 0.000], [0.500, 0.000, 0.000], [0.000, 0.000, 0.000], [0.500, 0.500, 0.500]]}

***

{"formula": "V2ReRu", "functional": "PBEsol", "state": "optimized geometry", "sg": "Fm-3m", "volume_a3_per_cell": 53.3, "ef_ev_per_atom": -0.290, "total_energy_ev_per_atom": -10.983, "magnetic_moment_mub_per_fu": 0.00, "cell": [[0.000, 2.988, 2.988], [2.988, 0.000, 2.988], [2.988, 2.988, 0.000]], "species": ["V", "V", "Re", "Ru"], "fractional_positions": [[0.250, 0.250, 0.250], [0.750, 0.750, 0.750], [0.000, 0.000, 0.000], [0.500, 0.500, 0.500]]}

***

{"formula": "Re2RuW", "functional": "PBEsol", "state": "optimized geometry", "sg": "Cm", "volume_a3_per_cell": 58.6, "ef_ev_per_atom": 0.136, "total_energy_ev_per_atom": -12.525, "magnetic_moment_mub_per_fu": 0.00, "cell": [[2.380, -1.372, 0.000], [2.380, 1.372, 0.000], [-1.539, 0.000, 8.969]], "species": ["Re", "Re", "Ru", "W"], "fractional_positions": [[0.000, 0.000, 0.000], [0.746, 0.746, 0.243], [0.251, 0.251, 0.750], [0.504, 0.504, 0.506]]}

***

{"formula": "Re2RuW", "functional": "PBEsol", "state": "optimized geometry", "sg": "I-4m2", "volume_a3_per_cell": 58.3, "ef_ev_per_atom": 0.085, "total_energy_ev_per_atom": -12.576, "magnetic_moment_mub_per_fu": 0.00, "cell": [[-1.940, 1.940, 3.875], [1.940, -1.940, 3.875], [1.940, 1.940, -3.875]], "species": ["Re", "Re", "Ru", "W"], "fractional_positions": [[0.000, 0.000, 0.000], [0.750, 0.250, 0.500], [0.500, 0.500, 0.000], [0.250, 0.750, 0.500]]}

***

{"formula": "Re2RuW", "functional": "PBEsol", "state": "optimized geometry", "sg": "P4mm", "volume_a3_per_cell": 58.5, "ef_ev_per_atom": 0.101, "total_energy_ev_per_atom": -12.560, "magnetic_moment_mub_per_fu": 0.00, "cell": [[2.742, 0.000, 0.000], [0.000, 2.742, 0.000], [0.000, 0.000, 7.776]], "species": ["Re", "Re", "Ru", "W"], "fractional_positions": [[0.000, 0.000, 0.000], [0.500, 0.500, 0.246], [0.000, 0.000, 0.487], [0.500, 0.500, 0.738]]}

***

{"formula": "Re2RuW", "functional": "PBEsol", "state": "optimized geometry", "sg": "C2/m", "volume_a3_per_cell": 58.4, "ef_ev_per_atom": 0.085, "total_energy_ev_per_atom": -12.576, "magnetic_moment_mub_per_fu": 0.00, "cell": [[4.553, -1.369, 0.000], [4.553, 1.369, 0.000], [-0.800, 0.000, 4.683]], "species": ["Re", "Re", "Ru", "W"], "fractional_positions": [[0.244, 0.244, 0.241], [0.756, 0.756, 0.759], [0.500, 0.500, 0.000], [0.000, 0.000, 0.500]]}